Entry 1:
5
Lattice="-4.089 -3.969 -1.936 3.431 -4.516 2.013 -2.975 0.283 5.705" Properties=species:S:1:pos:R:3 comment="CaZnSbI2 GGA-PBE relaxed" m_tot_mub_per_fu=1.79 dos_ef_per_ev_fu=3.57 relative_energy_ev_per_atom=0.1057 rho_g_cm3=3.4 pbc="T T T"
Sb -1.488 0.141 2.852
I -2.044 -1.985 -0.968
I 1.716 -2.258 1.007
Ca 0.000 0.000 0.000
Zn -1.817 -4.101 2.891

=====

Entry 2:
5
Lattice="-1.974 1.611 -5.060 -2.699 -4.953 -0.524 -4.659 2.270 2.540" Properties=species:S:1:pos:R:3 comment="CaZrSbI2 GGA-PBE relaxed" m_tot_mub_per_fu=0.00 dos_ef_per_ev_fu=2.36 relative_energy_ev_per_atom=0.0000 rho_g_cm3=4.5 pbc="T T T"
I -0.987 0.805 -2.530
I -1.349 -2.477 -0.262
Zr 0.000 0.000 0.000
Sb -2.330 1.135 1.270
Ca -4.666 -0.537 -1.522

=====

Entry 3:
5
Lattice="-0.482 5.806 1.948 -3.396 1.373 -4.932 -5.097 -1.464 3.102" Properties=species:S:1:pos:R:3 comment="Ca3ScI GGA-PBE relaxed" m_tot_mub_per_fu=3.66 dos_ef_per_ev_fu=4.36 relative_energy_ev_per_atom=0.2826 rho_g_cm3=2.1 pbc="T T T"
I -4.487 2.857 0.059
Ca -2.548 -0.732 1.551
Ca -0.241 2.903 0.974
Ca -1.698 0.686 -2.466
Sc 0.000 0.000 0.000

=====

Entry 4:
6
Lattice="4.284 0.000 0.000 -2.142 7.849 -2.711 0.000 -0.153 7.569" Properties=species:S:1:pos:R:3 comment="CaScI4 GGA-PBE relaxed" m_tot_mub_per_fu=1.02 dos_ef_per_ev_fu=3.11 energy_ev_per_atom=-3.7492 rho_g_cm3=3.9 pbc="T T T"
Ca 0.000 0.000 0.000
I 0.000 1.697 2.642
I 2.142 5.998 2.217
I 0.000 6.020 -1.362
I 2.142 1.675 6.221
Sc 2.142 -0.077 3.785

=====

Entry 5:
9
Lattice="-1.487 3.823 1.006 -1.686 -4.803 6.896 10.566 4.127 -0.069" Properties=species:S:1:pos:R:3 comment="CaSc2I6 GGA-PBE relaxed" m_tot_mub_per_fu=2.02 dos_ef_per_ev_fu=3.16 energy_ev_per_atom=-3.9293 rho_g_cm3=4.1 pbc="T T T"
I -0.375 1.333 3.247
I 8.214 3.046 0.564
I 7.768 1.814 4.587
I 2.827 -0.260 5.165
I -0.820 0.101 7.270
I 4.566 3.407 2.668
Ca 3.796 5.887 0.972
Sc 7.473 4.405 3.170
Sc -0.080 -1.258 4.663

=====

Entry 6:
5
Lattice="5.895 0.000 0.000 0.000 5.895 0.000 0.000 0.000 5.895" Properties=species:S:1:pos:R:3 comment="Ca3ScI GGA-PBE relaxed" m_tot_mub_per_fu=2.25 dos_ef_per_ev_fu=10.52 relative_energy_ev_per_atom=0.0000 rho_g_cm3=2.4 pbc="T T T"
Ca 0.000 0.000 2.948
Ca 0.000 2.948 0.000
Ca 2.948 0.000 0.000
Sc 2.948 2.948 2.948
I 0.000 0.000 0.000